No. 1
Material: Li2YAlO4
Method: DFT, PBE-GGA
State: relaxed

a b c (Å): 5.0776 4.8850 4.8850
angles (deg): 62.63 58.69 58.69
With the nearest neighbours (Å) after each atom.
Positions (direct):
Y 0.0000 0.0000 0.0000  4 O 2.27
Li 0.2500 0.2500 0.2500  4 O 1.95
Li 0.7500 0.7500 0.7500  4 O 1.95
O 0.4303 0.1461 0.5698  1 Al 1.79, 2 Li 1.95
O 0.5697 0.4302 0.8539  1 Al 1.79, 2 Li 1.95
O 0.1461 0.8539 0.4302  1 Al 1.79, 2 Li 1.95
O 0.8539 0.5698 0.1461  1 Al 1.79, 2 Li 1.95
Al 0.5000 0.5000 0.5000  4 O 1.79

* ΔE_f (raw): -2128 kJ/mol of formula units
* magnetic moment: 0.0 Bohr magnetons per cell
* symmetry: I-42m


No. 2
Material: LiY12Al4O3
Method: DFT, PBE-GGA
State: relaxed

a b c (Å): 8.4281 8.4281 8.4281
angles (deg): 109.47 109.47 109.47
With the nearest neighbours (Å) after each atom.
Positions (direct):
Y 0.0000 0.7377 0.7377  1 O 2.31, 1 Li 2.55
Y 0.2500 0.7500 0.5000  2 O 2.43
Y 0.5000 0.7500 0.2500  2 O 2.43
Y 0.7500 0.5000 0.2500  2 O 2.43
Y 0.7377 0.7377 0.0000  1 O 2.31, 1 Li 2.55
Y 0.5000 0.2500 0.7500  2 O 2.43
Y 0.2623 0.2623 0.0000  1 O 2.31, 1 Li 2.55
Y 0.2500 0.5000 0.7500  2 O 2.43
Y 0.2623 0.0000 0.2623  1 O 2.31, 1 Li 2.55
Y 0.7377 0.0000 0.7377  1 O 2.31, 1 Li 2.55
Y 0.7500 0.2500 0.5000  2 O 2.43
Y 0.0000 0.2623 0.2623  1 O 2.31, 1 Li 2.55
Al 0.0000 0.0000 0.5000  12 Y 3.44
Al 0.5000 0.0000 0.0000  12 Y 3.44
Al 0.5000 0.5000 0.5000  12 Y 3.44
Al 0.0000 0.5000 0.0000  12 Y 3.44
O 0.0000 0.5000 0.5000  6 Y 2.31-2.43
O 0.5000 0.0000 0.5000  6 Y 2.31-2.43
O 0.5000 0.5000 0.0000  6 Y 2.31-2.43
Li 0.0000 0.0000 0.0000  6 Y 2.55

* ΔE_f (raw): -1691 kJ/mol of formula units
* magnetic moment: 0.0 Bohr magnetons per cell
* symmetry: Im-3m


No. 3
Material: LiAlZn2O4
Method: DFT, PBE-GGA
State: relaxed

a b c (Å): 4.5563 4.5563 5.4446
angles (deg): 114.74 114.74 90.00
With the nearest neighbours (Å) after each atom.
Positions (direct):
O 0.6117 0.6117 0.7673  1 Al 1.79, 2 Zn 2.00
O 0.8445 0.3884 0.2329  1 Al 1.79, 2 Zn 2.00
O 0.3884 0.8445 0.2329  1 Al 1.79, 2 Zn 2.00
O 0.1556 0.1556 0.7673  1 Al 1.79, 2 Zn 2.00
Zn 0.2500 0.7500 0.5001  4 O 2.00
Zn 0.7500 0.2500 0.5001  4 O 2.00
Li 0.0000 0.0000 0.0001  4 O 2.03
Al 0.5000 0.5000 0.0001  4 O 1.79

* ΔE_f (raw): -1595 kJ/mol of formula units
* magnetic moment: 0.0 Bohr magnetons per cell
* symmetry: I-42m


No. 4
Material: LiAl4Zn2O8
Method: DFT, PBE-GGA
State: relaxed

a b c (Å): 5.7904 5.7904 6.1281
angles (deg): 60.47 60.47 59.79
With the nearest neighbours (Å) after each atom.
Positions (direct):
O 0.2443 0.7714 0.7437  2 Al 1.87-2.00, 1 Li 2.06
O 0.7471 0.7471 0.2967  3 Al 1.84-1.92, 1 Zn 2.05
O 0.7597 0.7597 0.7183  1 Li 1.99, 3 Al 2.01-2.04, 1 Zn 2.16
O 0.2286 0.7557 0.2563  2 Al 1.87-2.00, 1 Li 2.06
O 0.2403 0.2403 0.2817  1 Li 1.99, 3 Al 2.01-2.04, 1 Zn 2.16
O 0.7557 0.2286 0.2563  2 Al 1.87-2.00, 1 Li 2.06
O 0.7714 0.2443 0.7437  2 Al 1.87-2.00, 1 Li 2.06
O 0.2529 0.2529 0.7033  3 Al 1.84-1.92, 1 Zn 2.05
Al 0.1432 0.1432 0.0668  4 O 1.84-2.04
Al 0.8568 0.8568 0.9332  4 O 1.84-2.04
Al 0.5000 0.0000 0.5000  6 O 1.92-2.01
Al 0.0000 0.5000 0.5000  6 O 1.92-2.01
Zn 0.5000 0.5000 0.5000  6 O 2.05-2.16
Zn 0.5000 0.5000 0.0000  6 O 2.16
Li 0.0000 0.0000 0.5000  6 O 1.99-2.06, 2 Al 2.18

* polymorph energy (0 for the lowest one): 19.7 meV per atom
* ΔE_f (raw): -3106 kJ/mol of formula units
* magnetic moment: 0.0 Bohr magnetons per cell
* symmetry: C2/m


No. 5
Material: LiAl4Zn2O8
Method: DFT, PBE-GGA
State: relaxed

a b c (Å): 6.2384 6.2384 6.2384
angles (deg): 125.74 124.83 81.07
With the nearest neighbours (Å) after each atom.
Positions (direct):
Al 0.6989 0.9446 0.2457  5 O 1.86-2.01
Al 0.3709 0.3709 0.0000  4 O 1.87-1.93
Al 0.1549 0.6549 0.5000  4 O 1.78-1.85
Al 0.6989 0.4532 0.7543  5 O 1.86-2.01
O 0.5473 0.2635 0.2838  1 Li 1.89, 3 Al 1.93-2.01
O 0.9798 0.2635 0.7162  1 Li 1.89, 3 Al 1.93-2.01
O 0.5279 0.7429 0.7850  3 Al 1.85-1.92
O 0.9579 0.7429 0.2150  3 Al 1.85-1.92
O 0.5026 0.7467 0.2441  2 Al 1.86-1.87
O 0.0376 0.2926 0.2550  1 Al 1.78, 1 Li 1.83
O 0.0376 0.7826 0.7450  1 Al 1.78, 1 Li 1.83
O 0.5026 0.2586 0.7559  2 Al 1.86-1.87
Zn 0.7458 0.9779 0.7678  5 O 2.06-2.23
Zn 0.2101 0.9779 0.2322  5 O 2.06-2.23
Li 0.9126 0.4126 0.5000  4 O 1.83-1.89

* polymorph energy (0 for the lowest one): 13.0 meV per atom
* ΔE_f (raw): -3116 kJ/mol of formula units
* magnetic moment: 0.0 Bohr magnetons per cell
* symmetry: Imm2


No. 6
Material: LiAl4Zn2O8
Method: DFT, PBE-GGA
State: relaxed

a b c (Å): 6.0482 6.0482 6.0482
angles (deg): 123.20 122.18 85.41
With the nearest neighbours (Å) after each atom.
Positions (direct):
Al 0.1471 0.1471 0.0000  4 O 1.81-1.93
Al 0.7408 0.4838 0.2570  6 O 1.92-2.09
Al 0.2268 0.4838 0.7430  6 O 1.92-2.09
Al 0.3384 0.8384 0.5000  4 O 1.85-1.90
O 0.4654 0.6991 0.2336  3 Al 1.90-2.02, 1 Zn 2.00
O 0.0180 0.2673 0.7507  2 Al 1.81-1.92
O 0.0090 0.7496 0.7406  1 Li 1.91, 3 Al 1.93-2.00
O 0.5166 0.2673 0.2493  2 Al 1.81-1.92
O 0.0090 0.2684 0.2594  1 Li 1.91, 3 Al 1.93-2.00
O 0.4654 0.2318 0.7664  3 Al 1.90-2.02, 1 Zn 2.00
O 0.4766 0.7182 0.7584  1 Al 1.85, 1 Li 1.98
O 0.9598 0.7182 0.2416  1 Al 1.85, 1 Li 1.98
Zn 0.6886 0.4082 0.7196  5 O 2.00-2.16
Zn 0.6886 0.9690 0.2804  5 O 2.00-2.16
Li 0.8750 0.8750 0.0000  4 O 1.91-1.98

* polymorph energy (0 for the lowest one): 0.0 meV per atom
* ΔE_f (raw): -3134 kJ/mol of formula units
* magnetic moment: 0.0 Bohr magnetons per cell
* symmetry: Imm2